Entry from Alexandria: crystalline LiCuPd3 at its relaxed geometry (GGA-PBE).

Summary:
As for the total energy: -4.208 eV per atom. The energy above the most stable polymorph in this dataset is 0.336 eV/atom.

abc: 8.653 14.758 2.683
angles: 90.00 90.00 90.00
Space group Cmmm (No. 65)
Unique sites:
Li 0.250 0.250 0.000 x4
Cu 0.000 0.000 0.500 x2
Cu 0.000 0.500 0.500 x2
Pd 0.000 0.154 0.000 x4
Pd 0.243 0.406 0.500 x8

=====

Entry from Alexandria: crystalline Zr8Bi2Pb at its relaxed geometry (GGA-PBE).

Summary:
As for the total energy: -7.294 eV per atom.

abc: 7.887 13.573 5.551
angles: 90.00 114.21 90.00
Space group C2/m (No. 12)
Unique sites:
Zr 0.000 0.227 0.000 x4
Zr 0.088 0.500 0.804 x4
Zr 0.202 0.110 0.648 x8
Bi 0.000 0.305 0.500 x4
Pb 0.000 0.000 0.000 x2

=====

Number 1: DFT formation energy 110 meV per atom. Number 2: DFT formation energy -34 meV per atom.